U4GaTc4: relaxed, PBE.

Lattice parameters (Å, degrees): 7.485 7.485 6.311 90.00 90.00 90.00
Element x y z (fractional)
Tc1 0.196 0.000 0.670
Tc2 0.500 0.304 0.170
Tc3 0.304 0.500 0.830
Tc4 0.804 0.000 0.670
Tc5 0.000 0.196 0.330
Tc6 0.696 0.500 0.830
Tc7 0.000 0.804 0.330
Tc8 0.500 0.696 0.170
Ga1 0.000 0.000 0.000
Ga2 0.500 0.500 0.500
U1 0.670 0.000 0.222
U2 0.330 0.000 0.222
U3 0.830 0.500 0.278
U4 0.000 0.670 0.778
U5 0.170 0.500 0.278
U6 0.000 0.330 0.778
U7 0.500 0.830 0.722
U8 0.500 0.170 0.722

Summary:
M_tot: 0.000 μB/f.u.
ΔE_f: 0.131 eV per atom

***

UGa5Tc: relaxed, PBE.

Lattice parameters (Å, degrees): 4.434 4.434 6.642 90.00 90.00 90.00
Site moments in Bohr magnetons follow the coordinates.
Element x y z (fractional)
Ga1 0.500 0.000 0.301  0.02
Ga2 0.500 0.500 0.000  0.01
Ga3 0.000 0.500 0.699  0.02
Ga4 0.500 0.000 0.699  0.02
Ga5 0.000 0.500 0.301  0.02
Tc1 0.000 0.000 0.500  -0.12
U1 0.000 0.000 0.000  1.77

Summary:
M_tot: 1.935 μB/f.u.
ΔE_f: -0.247 eV per atom

***

UVGaTc: relaxed, PBE.

Lattice parameters (Å, degrees): 4.531 4.531 4.531 60.00 60.00 60.00
Site moments in Bohr magnetons follow the coordinates.
Element x y z (fractional)
U1 0.500 0.500 0.500  0.54
Tc1 0.250 0.250 0.250  0.02
Ga1 0.000 0.000 0.000  -0.01
V1 0.750 0.750 0.750  0.57

Summary:
M_tot: 1.185 μB/f.u.
ΔE_f: -0.044 eV per atom

***

- Which formula does entry 2 have?
  UGa5Tc